#one
CdPd3F: optimized geometry, PBE.

- space group = Pm-3m, No. 221
- D(E_F) (states/eV per atom) = 0.33
- magnetization (Bohr magnetons per cell) = 0.0

```
data_CdPd3F
_chemical_formula_sum 'Cd1 Pd3 F1'
_cell_length_a 4.400
_cell_length_b 4.400
_cell_length_c 4.400
_cell_angle_alpha 90.00
_cell_angle_beta 90.00
_cell_angle_gamma 90.00
_space_group_name_H-M_alt 'P 1'
_space_group_IT_number 1
_space_group_name_Hall 'P 1'
loop_
_atom_site_label
_atom_site_type_symbol
_atom_site_fract_x
_atom_site_fract_y
_atom_site_fract_z
F1 F 0.000 0.000 0.000
Pd1 Pd 0.000 0.500 0.000
Pd2 Pd 0.000 0.000 0.500
Pd3 Pd 0.500 0.000 0.000
Cd1 Cd 0.500 0.500 0.500
```

=====

#two
CdPd3F: optimized geometry, PBE.

- space group = Pm-3m, No. 221
- D(E_F) (states/eV per atom) = 2.21
- magnetization (Bohr magnetons per cell) = 1.0

```
data_CdPd3F
_chemical_formula_sum 'Cd1 Pd3 F1'
_cell_length_a 5.082
_cell_length_b 5.082
_cell_length_c 5.082
_cell_angle_alpha 90.00
_cell_angle_beta 90.00
_cell_angle_gamma 90.00
_space_group_name_H-M_alt 'P 1'
_space_group_IT_number 1
_space_group_name_Hall 'P 1'
loop_
_atom_site_label
_atom_site_type_symbol
_atom_site_fract_x
_atom_site_fract_y
_atom_site_fract_z
F1 F 0.500 0.500 0.500
Pd1 Pd 0.000 0.500 0.000
Pd2 Pd 0.000 0.000 0.500
Pd3 Pd 0.500 0.000 0.000
Cd1 Cd 0.000 0.000 0.000
```

=====

The data favor #one; the next most stable structure lies 813 meV per atom above it.

=====

#one
CdPtF2: optimized geometry, PBE.

- space group = I-42d, No. 122
- D(E_F) (states/eV per atom) = 0.53
- magnetization (Bohr magnetons per cell) = 1.0

```
data_CdPtF2
_chemical_formula_sum 'Cd2 Pt2 F4'
_cell_length_a 6.502
_cell_length_b 6.502
_cell_length_c 5.415
_cell_angle_alpha 53.10
_cell_angle_beta 53.10
_cell_angle_gamma 90.00
_space_group_name_H-M_alt 'P 1'
_space_group_IT_number 1
_space_group_name_Hall 'P 1'
loop_
_atom_site_label
_atom_site_type_symbol
_atom_site_fract_x
_atom_site_fract_y
_atom_site_fract_z
F1 F 0.614 0.125 0.250
F2 F 0.136 0.625 0.250
F3 F 0.375 0.386 0.750
F4 F 0.875 0.864 0.750
Pt1 Pt 0.000 0.000 0.000
Pt2 Pt 0.750 0.250 0.500
Cd1 Cd 0.500 0.500 0.000
Cd2 Cd 0.250 0.750 0.500
```

=====

#two
CdPtF2: optimized geometry, PBE.

- space group = Fm-3m, No. 225
- D(E_F) (states/eV per atom) = 1.01
- magnetization (Bohr magnetons per cell) = 0.5

```
data_CdPtF2
_chemical_formula_sum 'Cd1 Pt1 F2'
_cell_length_a 4.312
_cell_length_b 4.312
_cell_length_c 4.312
_cell_angle_alpha 60.00
_cell_angle_beta 60.00
_cell_angle_gamma 60.00
_space_group_name_H-M_alt 'P 1'
_space_group_IT_number 1
_space_group_name_Hall 'P 1'
loop_
_atom_site_label
_atom_site_type_symbol
_atom_site_fract_x
_atom_site_fract_y
_atom_site_fract_z
F1 F 0.250 0.250 0.250
F2 F 0.750 0.750 0.750
Pt1 Pt 0.500 0.500 0.500
Cd1 Cd 0.000 0.000 0.000
```

=====

The data favor #one; the next most stable structure lies 87 meV per atom above it.

=====

#one
Pu2CdF8: optimized geometry, PBE.

- space group = C2/m, No. 12
- D(E_F) (states/eV per atom) = 1.96
- magnetization (Bohr magnetons per cell) = 10.0

```
data_Pu2CdF8
_chemical_formula_sum 'Pu2 Cd1 F8'
_cell_length_a 3.869
_cell_length_b 5.630
_cell_length_c 7.683
_cell_angle_alpha 110.05
_cell_angle_beta 104.58
_cell_angle_gamma 90.00
_space_group_name_H-M_alt 'P 1'
_space_group_IT_number 1
_space_group_name_Hall 'P 1'
loop_
_atom_site_label
_atom_site_type_symbol
_atom_site_fract_x
_atom_site_fract_y
_atom_site_fract_z
F1 F 0.595 0.428 0.189
F2 F 0.324 0.042 0.648
F3 F 0.219 0.323 0.438
F4 F 0.037 0.812 0.075
F5 F 0.781 0.677 0.562
F6 F 0.676 0.958 0.352
F7 F 0.405 0.572 0.811
F8 F 0.963 0.188 0.925
Cd1 Cd 0.500 0.000 0.000
Pu1 Pu 0.172 0.679 0.344
Pu2 Pu 0.828 0.321 0.656
```

=====

#two
Pu2CdF8: optimized geometry, PBE.

- space group = C2/m, No. 12
- D(E_F) (states/eV per atom) = 1.59
- magnetization (Bohr magnetons per cell) = 10.0

```
data_Pu2CdF8
_chemical_formula_sum 'Pu2 Cd1 F8'
_cell_length_a 8.350
_cell_length_b 4.619
_cell_length_c 4.619
_cell_angle_alpha 65.34
_cell_angle_beta 88.11
_cell_angle_gamma 88.11
_space_group_name_H-M_alt 'P 1'
_space_group_IT_number 1
_space_group_name_Hall 'P 1'
loop_
_atom_site_label
_atom_site_type_symbol
_atom_site_fract_x
_atom_site_fract_y
_atom_site_fract_z
Pu1 Pu 0.340 0.369 0.369
Pu2 Pu 0.660 0.631 0.631
Cd1 Cd 0.000 0.000 0.000
F1 F 0.604 0.131 0.616
F2 F 0.396 0.384 0.869
F3 F 0.768 0.108 0.108
F4 F 0.232 0.892 0.892
F5 F 0.604 0.616 0.131
F6 F 0.396 0.869 0.384
F7 F 0.075 0.309 0.309
F8 F 0.925 0.691 0.691
```

=====

The data favor #one; the next most stable structure lies 144 meV per atom above it.

=====

#one
Rb2CdF5: optimized geometry, PBE.

- space group = P4/mmm, No. 123
- D(E_F) (states/eV per atom) = 0.25
- magnetization (Bohr magnetons per cell) = 1.0

```
data_Rb2CdF5
_chemical_formula_sum 'Rb2 Cd1 F5'
_cell_length_a 4.376
_cell_length_b 6.300
_cell_length_c 6.300
_cell_angle_alpha 90.00
_cell_angle_beta 90.00
_cell_angle_gamma 90.00
_space_group_name_H-M_alt 'P 1'
_space_group_IT_number 1
_space_group_name_Hall 'P 1'
loop_
_atom_site_label
_atom_site_type_symbol
_atom_site_fract_x
_atom_site_fract_y
_atom_site_fract_z
Rb1 Rb 0.500 0.500 0.000
Rb2 Rb 0.500 0.000 0.500
Cd1 Cd 0.000 0.000 0.000
F1 F 0.000 0.761 0.761
F2 F 0.000 0.239 0.761
F3 F 0.000 0.761 0.239
F4 F 0.500 0.000 0.000
F5 F 0.000 0.239 0.239
```

=====

#two
Rb2CdF5: optimized geometry, PBE.

- space group = Pnma, No. 62
- D(E_F) (states/eV per atom) = 0.24
- magnetization (Bohr magnetons per cell) = 4.1

```
data_Rb2CdF5
_chemical_formula_sum 'Rb8 Cd4 F20'
_cell_length_a 6.234
_cell_length_b 7.986
_cell_length_c 12.392
_cell_angle_alpha 90.00
_cell_angle_beta 90.00
_cell_angle_gamma 90.00
_space_group_name_H-M_alt 'P 1'
_space_group_IT_number 1
_space_group_name_Hall 'P 1'
loop_
_atom_site_label
_atom_site_type_symbol
_atom_site_fract_x
_atom_site_fract_y
_atom_site_fract_z
Rb1 Rb 0.750 0.517 0.280
Rb2 Rb 0.250 0.483 0.720
Rb3 Rb 0.250 0.983 0.780
Rb4 Rb 0.750 0.017 0.220
Rb5 Rb 0.750 0.846 0.579
Rb6 Rb 0.250 0.154 0.421
Rb7 Rb 0.250 0.654 0.079
Rb8 Rb 0.750 0.346 0.921
Cd1 Cd 0.750 0.829 0.935
Cd2 Cd 0.250 0.171 0.065
Cd3 Cd 0.250 0.671 0.435
Cd4 Cd 0.750 0.329 0.565
F1 F 0.750 0.711 0.091
F2 F 0.250 0.289 0.909
F3 F 0.250 0.789 0.591
F4 F 0.750 0.211 0.409
F5 F 0.492 0.671 0.879
F6 F 0.508 0.329 0.121
F7 F 0.508 0.829 0.379
F8 F 0.992 0.329 0.121
F9 F 0.492 0.171 0.621
F10 F 0.008 0.671 0.879
F11 F 0.008 0.171 0.621
F12 F 0.992 0.829 0.379
F13 F 0.500 0.000 0.000
F14 F 0.500 0.500 0.500
F15 F 0.000 0.000 0.000
F16 F 0.000 0.500 0.500
F17 F 0.750 0.978 0.794
F18 F 0.250 0.022 0.206
F19 F 0.250 0.522 0.294
F20 F 0.750 0.478 0.706
```

=====

The data favor #two; the next most stable structure lies 21 meV per atom above it.

=====

#one
Rb3CdF: optimized geometry, PBE.

- space group = Pm-3m, No. 221
- D(E_F) (states/eV per atom) = 0.75
- magnetization (Bohr magnetons per cell) = 0.0

```
data_Rb3CdF
_chemical_formula_sum 'Rb3 Cd1 F1'
_cell_length_a 6.933
_cell_length_b 6.933
_cell_length_c 6.933
_cell_angle_alpha 90.00
_cell_angle_beta 90.00
_cell_angle_gamma 90.00
_space_group_name_H-M_alt 'P 1'
_space_group_IT_number 1
_space_group_name_Hall 'P 1'
loop_
_atom_site_label
_atom_site_type_symbol
_atom_site_fract_x
_atom_site_fract_y
_atom_site_fract_z
F1 F 0.500 0.500 0.500
Rb1 Rb 0.000 0.500 0.000
Rb2 Rb 0.000 0.000 0.500
Rb3 Rb 0.500 0.000 0.000
Cd1 Cd 0.000 0.000 0.000
```

=====

#two
Rb3CdF: optimized geometry, PBE.

- space group = Pm-3m, No. 221
- D(E_F) (states/eV per atom) = 0.54
- magnetization (Bohr magnetons per cell) = 0.0

```
data_Rb3CdF
_chemical_formula_sum 'Rb3 Cd1 F1'
_cell_length_a 5.844
_cell_length_b 5.844
_cell_length_c 5.844
_cell_angle_alpha 90.00
_cell_angle_beta 90.00
_cell_angle_gamma 90.00
_space_group_name_H-M_alt 'P 1'
_space_group_IT_number 1
_space_group_name_Hall 'P 1'
loop_
_atom_site_label
_atom_site_type_symbol
_atom_site_fract_x
_atom_site_fract_y
_atom_site_fract_z
F1 F 0.000 0.000 0.000
Rb1 Rb 0.000 0.500 0.000
Rb2 Rb 0.000 0.000 0.500
Rb3 Rb 0.500 0.000 0.000
Cd1 Cd 0.500 0.500 0.500
```

=====

The data favor #two; the next most stable structure lies 591 meV per atom above it.